Compound: Mg3Fe
Source: Alexandria via LeMat-Bulk
Functional: PBE
Structure: optimized geometry

Cell and atoms, written as CIF:
```
data_Mg3Fe
_cell_length_a 6.654
_cell_length_b 6.654
_cell_length_c 6.654
_cell_angle_alpha 90.00
_cell_angle_beta 90.00
_cell_angle_gamma 90.00
_symmetry_space_group_name_H-M 'F m -3 m'
_symmetry_Int_Tables_number 225
_symmetry_space_group_name_Hall '-F 4 2 3'
loop_
_atom_site_label
_atom_site_fract_x
_atom_site_fract_y
_atom_site_fract_z
Mg1 0.000 0.000 0.000
Mg2 0.250 0.250 0.250
Fe1 0.000 0.000 0.500
```

Output
VASP energy   -0.1120 hartree per atom
Volume   294.6 Å³/cell